Record 1
Below is an optimized crystal structure of LaNi2Rh3, with properties calculated at the PBE level.

Unit cell a=5.2807 b=5.2807 c=4.0885 alpha=90.00 beta=90.00 gamma=120.00
Space group P6/mmm (No. 191)
Symmetry-distinct sites (fractional):
La 0.0000 0.0000 0.0000 (multiplicity 1)
Ni 0.3333 0.6667 0.0000 (multiplicity 2)
Rh 0.0000 0.5000 0.5000 (multiplicity 3)

Properties
Energy relative to the elements: -0.369 eV/atom
E_tot: -40.8 eV/cell
Calculated density: 9.50 g/cm3
Density of states at the Fermi level: 0.9307 states/eV per atom

***

Record 2
Below is an optimized crystal structure of Ce6CuRu2, with properties calculated at the PBE level.

Unit cell a=10.071 b=4.878 c=8.517 alpha=90.00 beta=99.16 gamma=90.00
Space group C2/m (No. 12)
Symmetry-distinct sites (fractional):
Ce 0.047 0.000 0.350 (multiplicity 4)
Ce 0.115 0.500 0.680 (multiplicity 4)
Ce 0.187 0.500 0.088 (multiplicity 4)
Cu 0.000 0.000 0.000 (multiplicity 2)
Ru 0.224 0.500 0.377 (multiplicity 4)

Properties
Energy relative to the elements: -0.232 eV/atom
E_tot: -120.7 eV/cell
Calculated density: 8.89 g/cm3
Density of states at the Fermi level: 1.9297 states/eV per atom

***

Record 3
Below is an optimized crystal structure of Tl2TcRh, with properties calculated at the PBE level.

Unit cell a=6.639 b=6.639 c=6.639 alpha=90.00 beta=90.00 gamma=90.00
Space group Fm-3m (No. 225)
Symmetry-distinct sites (fractional):
Tl 0.250 0.250 0.250 (multiplicity 8)
Tc 0.000 0.000 0.000 (multiplicity 4)
Rh 0.000 0.000 0.500 (multiplicity 4)

Properties
Excess energy over the best structure of this formula in the dataset: 0.86 eV per formula unit
Energy relative to the elements: 0.528 eV/atom
E_tot: -81.4 eV/cell
Calculated density: 13.84 g/cm3
Density of states at the Fermi level: 1.1042 states/eV per atom

***

Record 4
Below is an optimized crystal structure of RbNbCu2F, with properties calculated at the PBE level.

Unit cell a=4.624 b=4.624 c=4.819 alpha=90.00 beta=90.00 gamma=90.00
Space group P4/mmm (No. 123)
Symmetry-distinct sites (fractional):
Rb 0.000 0.000 0.000 (multiplicity 1)
Nb 0.500 0.500 0.000 (multiplicity 1)
Cu 0.000 0.500 0.500 (multiplicity 2)
F 0.000 0.000 0.500 (multiplicity 1)

Properties
E_tot: -17.4 eV/cell
Calculated density: 5.23 g/cm3
Formation energy (no corrections): 0.731 eV/atom
Density of states at the Fermi level: 1.3495 states/eV per atom

***

Record 5
Below is an optimized crystal structure of SrAuCl2, with properties calculated at the PBE level.

Unit cell a=9.037 b=4.420 c=5.861 alpha=90.00 beta=102.80 gamma=90.00
Space group C2/m (No. 12)
Symmetry-distinct sites (fractional):
Sr 0.000 0.000 0.000 (multiplicity 2)
Au 0.000 0.500 0.500 (multiplicity 2)
Cl 0.199 0.500 0.209 (multiplicity 4)

Properties
Excess energy over the best structure of this formula in the dataset: 0.20 eV per formula unit
E_tot: -26.8 eV/cell
Calculated density: 5.17 g/cm3
Formation energy (no corrections): -1.185 eV/atom
Density of states at the Fermi level: 0.8592 states/eV per atom

***

Record 6
Below is an optimized crystal structure of Cu5Pt, with properties calculated at the PBE level.

Unit cell a=8.223 b=3.766 c=5.167 alpha=90.00 beta=108.59 gamma=90.00
Space group C2/m (No. 12)
Symmetry-distinct sites (fractional):
Cu 0.000 0.000 0.000 (multiplicity 2)
Cu 0.165 0.500 0.326 (multiplicity 4)
Cu 0.170 0.500 0.838 (multiplicity 4)
Pt 0.000 0.000 0.500 (multiplicity 2)

Properties
Excess energy over the best structure of this formula in the dataset: 0.04 eV per formula unit
Energy relative to the elements: -0.095 eV/atom
E_tot: -54.2 eV/cell
Calculated density: 11.23 g/cm3
Density of states at the Fermi level: 0.2945 states/eV per atom

***

Record 7
Below is an optimized crystal structure of TaCo2Mo2, with properties calculated at the PBE level.

Unit cell a=7.337 b=7.337 c=2.666 alpha=90.00 beta=90.00 gamma=90.00
Space group P4/mbm (No. 127)
Symmetry-distinct sites (fractional):
Ta 0.000 0.000 0.000 (multiplicity 2)
Co 0.174 0.326 0.500 (multiplicity 4)
Mo 0.125 0.625 0.000 (multiplicity 4)

Properties
Excess energy over the best structure of this formula in the dataset: 0.61 eV per formula unit
Energy relative to the elements: 0.197 eV/atom
E_tot: -93.5 eV/cell
Calculated density: 11.36 g/cm3
Density of states at the Fermi level: 1.4203 states/eV per atom

***

Record 8
Below is an optimized crystal structure of Y2HoBr, with properties calculated at the PBE level.

Unit cell a=3.6519 b=3.6519 c=30.5736 alpha=90.00 beta=90.00 gamma=120.00
Space group R-3m (No. 166, hexagonal axes)
Symmetry-distinct sites (fractional):
Y 0.0000 0.0000 0.2425 (multiplicity 6)
Ho 0.0000 0.0000 0.0000 (multiplicity 3)
Br 0.0000 0.0000 0.5000 (multiplicity 3)

Properties
E_tot: -63.8 eV/cell
Calculated density: 5.96 g/cm3
Formation energy (no corrections): -0.526 eV/atom
Density of states at the Fermi level: 1.2004 states/eV per atom

***

Record 9
Below is an optimized crystal structure of Nd3Tl2Hg4, with properties calculated at the PBE level.

Unit cell a=11.394 b=5.031 c=9.568 alpha=90.00 beta=117.03 gamma=90.00
Space group C2/m (No. 12)
Symmetry-distinct sites (fractional):
Nd 0.000 0.000 0.000 (multiplicity 2)
Nd 0.165 0.500 0.670 (multiplicity 4)
Tl 0.109 0.500 0.273 (multiplicity 4)
Hg 0.084 0.000 0.422 (multiplicity 4)
Hg 0.197 0.500 0.023 (multiplicity 4)

Properties
Energy relative to the elements: -0.387 eV/atom
E_tot: -47.5 eV/cell
Calculated density: 11.18 g/cm3
Density of states at the Fermi level: 0.5579 states/eV per atom

***

Record 10
Below is an optimized crystal structure of PuPa2Ga2Ru5, with properties calculated at the PBE level.

Unit cell a=9.944 b=9.944 c=3.611 alpha=90.00 beta=90.00 gamma=90.00
Space group P4/mbm (No. 127)
Symmetry-distinct sites (fractional):
Pu 0.000 0.000 0.000 (multiplicity 2)
Pa 0.173 0.327 0.000 (multiplicity 4)
Ga 0.124 0.624 0.000 (multiplicity 4)
Ru 0.000 0.500 0.500 (multiplicity 2)
Ru 0.081 0.796 0.500 (multiplicity 8)

Properties
Energy relative to the elements: -0.338 eV/atom
E_tot: -178.3 eV/cell
Calculated density: 12.57 g/cm3
Density of states at the Fermi level: 1.1867 states/eV per atom

***

Record 11
Below is an optimized crystal structure of Ac3Zn3Co2, with properties calculated at the PBE level.

Unit cell a=3.953 b=11.903 c=17.442 alpha=90.00 beta=90.00 gamma=90.00
Space group Cmcm (No. 63)
Symmetry-distinct sites (fractional):
Ac 0.000 0.109 0.250 (multiplicity 4)
Ac 0.000 0.142 0.571 (multiplicity 8)
Zn 0.000 0.163 0.750 (multiplicity 4)
Zn 0.000 0.422 0.589 (multiplicity 8)
Co 0.000 0.426 0.184 (multiplicity 8)

Properties
Energy relative to the elements: -0.123 eV/atom
E_tot: -125.4 eV/cell
Calculated density: 8.05 g/cm3
Density of states at the Fermi level: 0.8642 states/eV per atom

***

Record 12
Below is an optimized crystal structure of NdRuC2, with properties calculated at the PBE level.

Unit cell a=3.897 b=3.897 c=15.411 alpha=90.00 beta=90.00 gamma=90.00
Space group P4_1 (No. 76)
Symmetry-distinct sites (fractional):
Nd 0.140 0.143 0.000 (multiplicity 4)
Ru 0.352 0.359 0.601 (multiplicity 4)
C 0.141 0.640 0.145 (multiplicity 4)
C 0.349 0.350 0.469 (multiplicity 4)

Properties
Excess energy over the best structure of this formula in the dataset: 0.00 eV per formula unit
Energy relative to the elements: -0.122 eV/atom
E_tot: -131.9 eV/cell
Calculated density: 7.64 g/cm3
Density of states at the Fermi level: 0.5309 states/eV per atom